This record from Alexandria via LeMat-Bulk describes a relaxed structure of MnFeMo2H. The functional is PBE.

Calculated values
Excess energy over the best structure of this formula in the dataset: 0.00 kJ/mol of atoms
Total magnetization: 0.32 μB per atom
DOS(E_F): 4.5 states/eV/cell
Total energy: -8.39 eV/atom

a = 3.937 Å, b = 3.937 Å, c = 3.611 Å
α = 90.00°, β = 90.00°, γ = 90.00°
Positions (direct):
H 0.000 0.000 0.000
Mo 0.000 0.500 0.000
Mo 0.500 0.000 0.000
Mn 0.500 0.500 0.500
Fe 0.000 0.000 0.500